The following is a PBE calculation of a geometry-optimized Y2Sb2S7 structure, from Alexandria.

The value obtained for the mass density is 4.37 g/cm3. As for the space group: No. 44. The value obtained for the energy relative to the elements, uncorrected is -0.825 eV per atom. As for the total moment: 0.00 μB per formula unit.

Geometry as POSCAR:
```
Y2Sb2S7
1.0
-1.9241 7.1625 4.4526
1.9241 -7.1625 4.4526
1.9241 7.1625 -4.4526
Y Sb S
2 2 7
direct
0.0000 0.0000 0.0000
0.5278 0.0278 0.5000
0.4200 0.1638 0.2562
0.9075 0.1638 0.7438
0.1746 0.5389 0.6357
0.2314 0.9065 0.3249
0.3151 0.3151 0.0000
0.5816 0.9065 0.6751
0.6095 0.7133 0.8962
0.8171 0.7133 0.1038
0.9032 0.5389 0.3643
```